DFT (PBE) results for an optimized crystal structure of Ag5PtAu.

```
Ag5PtAu
1.0
-1.828 -0.432 -5.243
3.452 -1.126 -4.223
-1.305 -9.953 -0.021
Ag Pt Au
10 2 2
Direct
0.681 0.606 0.959 Ag
0.811 0.711 0.690 Ag
0.289 0.189 0.810 Ag
0.711 0.811 0.190 Ag
0.606 0.681 0.459 Ag
0.189 0.289 0.310 Ag
0.712 0.288 0.250 Ag
0.288 0.712 0.750 Ag
0.394 0.319 0.541 Ag
0.319 0.394 0.041 Ag
0.218 0.782 0.250 Pt
0.782 0.218 0.750 Pt
0.000 0.000 0.500 Au
0.000 0.000 0.000 Au
```

Properties
SG   C2/c (15)
DOS(E_F)   2.07 states/eV/f.u.
Crystal system   monoclinic
Total energy   -3.265 eV per atom